Entry from OQMD: an optimized crystal structure of TaCdO3F (PBE).

```
TaCdO3F
1.0
3.764 0.000 0.000
0.094 6.601 0.000
0.091 2.699 6.510
Cd F O Ta
2 2 6 2
Cartesian
2.862 2.942 1.378
1.086 6.358 5.133
0.957 1.543 1.707
2.991 7.757 4.803
1.015 4.263 0.747
2.917 6.422 0.867
1.033 5.775 3.118
2.915 3.525 3.392
1.031 2.878 5.643
2.933 5.037 5.764
1.034 6.072 1.356
2.915 3.228 5.155
```

Calculated values
Symmetry = P-1 (2)
Total DFT energy (no corrections) = -87.7 eV/cell